Er2TmScSe6, relaxed, DFT PBE; calculated total energy = -5.88 eV per atom; formation energy (no corrections) = -172.9 kJ/mol of atoms
1.0
-1.733 6.794 0.642
-4.426 2.039 5.082
2.871 3.829 5.842
Se Tm Er Sc
6 1 2 1
Cartesian
0.124 4.494 6.635 Se
-3.791 4.359 6.356 Se
-3.530 8.520 5.094 Se
-1.281 5.454 2.968 Se
-1.712 7.215 8.321 Se
0.460 7.967 5.433 Se
-3.500 9.311 7.849 Tm
-1.869 6.291 5.604 Er
2.673 3.793 5.684 Er
-1.888 2.974 2.040 Sc

---

Er2Tm3ScSe6, relaxed, DFT PBE; calculated total energy = -5.80 eV per atom; formation energy (no corrections) = -159.8 kJ/mol of atoms
1.0
3.994 0.000 0.000
0.000 8.026 0.279
-1.997 -2.320 8.401
Se Tm Sc Er
6 3 1 2
Cartesian
1.997 -0.360 8.442 Se
0.000 1.786 5.726 Se
0.000 6.066 0.239 Se
1.997 -0.113 2.763 Se
0.000 5.819 5.918 Se
1.997 3.920 2.954 Se
0.000 5.918 3.072 Tm
1.997 4.013 0.139 Tm
1.997 -0.213 5.608 Tm
1.997 0.000 0.000 Sc
0.000 1.897 2.886 Er
1.997 3.808 5.794 Er

---

ErTm3Sc2Se6, relaxed, DFT PBE; calculated total energy = -5.94 eV per atom; formation energy (no corrections) = -158.2 kJ/mol of atoms
1.0
3.970 0.000 0.000
0.000 7.967 0.291
-1.985 -2.288 8.345
Se Sc Tm Er
6 2 3 1
Cartesian
1.985 -0.053 2.837 Se
1.985 3.679 8.502 Se
0.000 2.000 0.134 Se
0.000 5.732 5.798 Se
0.000 1.845 5.649 Se
1.985 3.834 2.987 Se
1.985 3.775 5.748 Sc
0.000 1.904 2.888 Sc
1.985 3.984 0.145 Tm
1.985 -0.187 5.650 Tm
0.000 5.866 2.986 Tm
1.985 0.000 0.000 Er

---

Er3Tm3ScSe8, relaxed, DFT PBE; calculated total energy = -5.85 eV per atom; formation energy (no corrections) = -170.5 kJ/mol of atoms
1.0
8.001 0.000 0.000
-4.001 6.929 -0.024
0.000 -4.597 6.555
Se Sc Tm Er
8 1 3 3
Cartesian
0.000 0.005 4.884 Se
4.001 0.017 4.893 Se
6.012 -1.155 1.660 Se
2.011 3.487 4.872 Se
-2.011 3.487 4.872 Se
4.001 2.327 1.647 Se
0.000 2.315 1.639 Se
1.990 -1.155 1.660 Se
0.000 -2.299 3.278 Sc
4.001 -2.299 3.278 Tm
-2.000 1.166 3.266 Tm
2.000 1.166 3.266 Tm
2.000 3.465 -0.012 Er
-2.000 3.465 -0.012 Er
0.000 0.000 0.000 Er

---

Er2TmScSe4, relaxed, DFT PBE; calculated total energy = -5.89 eV per atom; formation energy (no corrections) = -159.6 kJ/mol of atoms
1.0
-2.597 2.685 -1.311
-5.229 -4.280 1.591
-2.023 1.229 6.523
Se Tm Er Sc
4 1 2 1
Cartesian
-4.155 1.175 4.659 Se
-4.439 1.878 0.685 Se
-5.694 -1.541 2.144 Se
-5.410 -2.244 6.118 Se
-3.626 -1.525 4.057 Tm
-2.023 1.229 6.523 Er
-2.310 1.957 2.606 Er
-3.913 -0.798 0.140 Sc

---

Y2ErSc3Se6, relaxed, DFT PBE; calculated total energy = -6.45 eV per atom; formation energy (no corrections) = -160.4 kJ/mol of atoms
1.0
-3.717 -0.798 -1.133
-2.160 -0.775 7.633
0.539 8.801 -1.024
Se Er Sc Y
6 1 3 2
Cartesian
-2.461 2.377 -0.544 Se
-1.772 5.357 2.040 Se
-3.719 7.742 -0.195 Se
-3.566 1.872 3.437 Se
-1.618 -0.513 5.672 Se
-2.876 4.851 6.021 Se
-1.858 -0.399 -0.566 Er
-2.243 2.181 5.823 Sc
-3.094 5.048 -0.346 Sc
-2.938 -0.786 3.250 Sc
-1.165 2.558 2.020 Y
-4.173 4.670 3.457 Y

---

Y2Er3ScSe6, relaxed, DFT PBE; calculated total energy = -6.18 eV per atom; formation energy (no corrections) = -163.5 kJ/mol of atoms
1.0
4.022 0.000 0.000
0.000 8.083 0.290
-2.011 -2.328 8.459
Y Sc Se Er
2 1 6 3
Cartesian
0.000 1.916 2.920 Y
2.011 3.839 5.829 Y
2.011 0.000 0.000 Sc
2.011 3.967 2.964 Se
0.000 5.881 5.985 Se
0.000 1.788 5.785 Se
0.000 6.118 0.261 Se
2.011 -0.126 2.764 Se
2.011 -0.363 8.488 Se
2.011 4.041 0.145 Er
2.011 -0.205 5.630 Er
0.000 5.960 3.119 Er

---

YEr2Sc3Se6, relaxed, DFT PBE; calculated total energy = -6.28 eV per atom; formation energy (no corrections) = -159.5 kJ/mol of atoms
1.0
6.870 -0.015 0.000
-3.446 5.943 0.000
-1.142 -1.978 6.489
Se Sc Er Y
6 3 2 1
Cartesian
2.316 -0.008 1.713 Se
-0.035 3.957 4.776 Se
0.011 0.018 4.790 Se
3.445 1.947 4.776 Se
2.270 3.931 1.698 Se
-1.164 2.002 1.713 Se
-2.341 3.986 3.244 Sc
1.141 1.975 3.244 Sc
4.622 -0.036 3.244 Sc
0.000 3.952 0.000 Er
3.423 1.975 0.000 Er
0.000 0.000 0.000 Y

---

YErSc2Se6, relaxed, DFT PBE; calculated total energy = -6.21 eV per atom; formation energy (no corrections) = -169.1 kJ/mol of atoms
1.0
-5.985 2.211 2.840
-5.923 -0.257 -3.693
-5.076 -5.142 1.894
Se Sc Er Y
6 2 1 1
Cartesian
-6.398 0.057 1.364 Se
-7.949 -0.968 -2.150 Se
-8.922 -2.225 3.061 Se
-6.845 -3.662 0.297 Se
-10.286 0.545 0.688 Se
-10.521 -3.145 -0.197 Se
-5.044 -4.971 1.830 Sc
-8.461 -1.432 0.460 Sc
-12.516 -1.228 0.344 Er
-4.027 0.349 -0.171 Y

---

Y3Er4ScSe8, relaxed, DFT PBE; calculated total energy = -6.19 eV per atom; formation energy (no corrections) = -163.8 kJ/mol of atoms
1.0
8.080 0.000 0.000
0.000 8.080 -0.005
-4.040 -4.036 5.717
Er Sc Se Y
4 1 8 3
Cartesian
0.000 0.000 0.000 Er
2.020 -2.018 2.858 Er
4.040 0.000 0.000 Er
-2.020 -2.018 2.858 Er
0.000 4.040 -0.003 Sc
6.102 6.044 0.016 Se
4.040 4.068 2.875 Se
0.000 4.068 2.812 Se
-2.062 -2.000 5.696 Se
1.978 6.044 0.016 Se
4.040 -0.024 2.899 Se
2.062 -2.000 5.696 Se
0.000 -0.024 2.836 Se
2.020 2.022 2.856 Y
4.040 4.040 -0.003 Y
-2.020 2.022 2.856 Y

---

Y3ErSc2Se6, relaxed, DFT PBE; calculated total energy = -6.49 eV per atom; formation energy (no corrections) = -163.2 kJ/mol of atoms
1.0
6.941 -0.016 -0.002
-3.483 6.004 -0.002
-1.156 -2.001 6.580
Y Se Er Sc
3 6 1 2
Cartesian
-2.366 4.024 3.287 Y
4.668 -0.038 3.287 Y
1.151 1.993 3.287 Y
0.024 0.042 5.032 Se
2.278 3.945 1.542 Se
2.363 -0.007 1.571 Se
3.489 1.943 5.004 Se
-0.061 3.994 5.004 Se
-1.187 2.043 1.571 Se
0.000 0.000 0.000 Er
-0.009 3.997 -0.002 Sc
3.467 1.990 -0.002 Sc

---

Y2ErScSe6, relaxed, DFT PBE; calculated total energy = -6.28 eV per atom; formation energy (no corrections) = -174.0 kJ/mol of atoms
1.0
7.089 0.000 0.000
3.545 6.139 0.000
3.545 2.047 6.386
Se Er Y Sc
6 1 2 1
Cartesian
4.957 4.159 4.848 Se
8.099 2.213 4.848 Se
5.754 6.276 1.612 Se
5.867 1.846 1.612 Se
8.213 5.907 4.848 Se
9.648 4.158 1.612 Se
10.634 6.140 3.452 Er
7.090 4.093 2.878 Y
3.545 2.047 6.108 Y
3.545 2.046 0.213 Sc